*i*
VASP calculation (PBE) on an optimized crystal structure of Pr3SnGe2.

Unit cell a=7.9359 b=7.9359 c=7.9359 alpha=61.72 beta=61.72 gamma=61.72
Sites, in units of the cell vectors:
Pr: 0.0595 0.7500 0.4405
Pr: 0.2500 0.5595 0.9405
Pr: 0.4405 0.0595 0.7500
Pr: 0.5595 0.9405 0.2500
Pr: 0.7500 0.4405 0.0595
Pr: 0.9405 0.2500 0.5595
Sn: 0.0000 0.0000 0.0000
Sn: 0.5000 0.5000 0.5000
Ge: 0.1558 0.1558 0.1558
Ge: 0.3442 0.3442 0.3442
Ge: 0.6558 0.6558 0.6558
Ge: 0.8442 0.8442 0.8442

Properties
SG = No. 167
volume = 30.58 Å³ per atom

=====

*ii*
VASP calculation (PBE) on an optimized crystal structure of Pr3SnGe2.

Unit cell a=8.5192 b=8.5192 c=4.3162 alpha=90.00 beta=90.00 gamma=148.61
Sites, in units of the cell vectors:
Pr: 0.0000 0.0000 0.0000
Pr: 0.1732 0.8268 0.5000
Pr: 0.8268 0.1732 0.5000
Sn: 0.5000 0.5000 0.5000
Ge: 0.3515 0.6485 0.0000
Ge: 0.6485 0.3515 0.0000

Properties
SG = No. 65
volume = 27.19 Å³ per atom

=====

Which one sits at the top of the stability order? *i* does.

=====

*i*
VASP calculation (PBE) on an optimized crystal structure of Pr5Sn2Ge.

Unit cell a=8.4494 b=12.7763 c=4.7172 alpha=90.00 beta=90.00 gamma=90.00
Sites, in units of the cell vectors:
Pr: 0.0000 0.0000 0.0000
Pr: 0.1473 0.2887 0.0000
Pr: 0.1977 0.5689 0.5000
Pr: 0.3023 0.0689 0.5000
Pr: 0.3527 0.7887 0.0000
Pr: 0.5000 0.5000 0.0000
Pr: 0.6473 0.2113 0.0000
Pr: 0.6977 0.9311 0.5000
Pr: 0.8023 0.4311 0.5000
Pr: 0.8527 0.7113 0.0000
Sn: 0.0786 0.8276 0.5000
Sn: 0.4214 0.3276 0.5000
Sn: 0.5786 0.6724 0.5000
Sn: 0.9214 0.1724 0.5000
Ge: 0.0000 0.5000 0.0000
Ge: 0.5000 0.0000 0.0000

Properties
SG = No. 55
volume = 31.83 Å³ per atom

=====

*ii*
VASP calculation (PBE) on an optimized crystal structure of Pr5Sn2Ge.

Unit cell a=7.1408 b=6.8235 c=6.8343 alpha=63.05 beta=58.40 gamma=58.55
Sites, in units of the cell vectors:
Pr: 0.0002 0.0002 0.9998
Pr: 0.0000 0.0000 0.5000
Pr: 0.0001 0.4998 0.9999
Pr: 0.4998 0.0001 0.5002
Pr: 0.5000 0.5000 0.0000
Sn: 0.9999 0.5000 0.5000
Sn: 0.5000 0.9999 0.0001
Ge: 0.5008 0.5008 0.4992

Properties
SG = No. 42
volume = 29.30 Å³ per atom

=====

Which one sits at the top of the stability order? *i* does.

=====

*i*
VASP calculation (PBE) on an optimized crystal structure of Tb2PrGe.

Unit cell a=10.1734 b=10.1734 c=10.1734 alpha=21.37 beta=21.37 gamma=21.37
Sites, in units of the cell vectors:
Tb: 0.2308 0.2308 0.2308
Tb: 0.7692 0.7692 0.7692
Pr: 0.0000 0.0000 0.0000
Ge: 0.5000 0.5000 0.5000

Properties
SG = No. 166
volume = 30.62 Å³ per atom

=====

*ii*
VASP calculation (PBE) on an optimized crystal structure of Tb2PrGe.

Unit cell a=10.0126 b=10.0126 c=10.0126 alpha=22.02 beta=22.02 gamma=22.02
Sites, in units of the cell vectors:
Tb: 0.0000 0.0000 0.0000
Tb: 0.2064 0.2064 0.2064
Pr: 0.4376 0.4376 0.4376
Ge: 0.6029 0.6029 0.6029

Properties
SG = No. 160
volume = 30.92 Å³ per atom

=====

*iii*
VASP calculation (PBE) on an optimized crystal structure of Tb2PrGe.

Unit cell a=4.7577 b=4.7577 c=4.7220 alpha=90.00 beta=90.00 gamma=90.00
Sites, in units of the cell vectors:
Tb: 0.0000 0.5000 0.0000
Tb: 0.5000 0.0000 0.0000
Pr: 0.0000 0.0000 0.5000
Ge: 0.5000 0.5000 0.5000

Properties
SG = No. 123
volume = 26.72 Å³ per atom

=====

Which one sits at the top of the stability order? *iii* does.

=====

*i*
VASP calculation (PBE) on an optimized crystal structure of PrTc2Ge2.

Unit cell a=11.3080 b=11.3080 c=11.3080 alpha=158.63 beta=158.50 gamma=30.50
Sites, in units of the cell vectors:
Pr: 0.4114 0.1614 0.2500
Pr: 0.5886 0.8386 0.7500
Tc: 0.2157 0.9657 0.2500
Tc: 0.2857 0.5357 0.7500
Tc: 0.7143 0.4643 0.2500
Tc: 0.7843 0.0343 0.7500
Ge: 0.0300 0.2800 0.7500
Ge: 0.1473 0.3973 0.7500
Ge: 0.8527 0.6027 0.2500
Ge: 0.9700 0.7200 0.2500

Properties
SG = No. 74
volume = 19.30 Å³ per atom

=====

*ii*
VASP calculation (PBE) on an optimized crystal structure of PrTc2Ge2.

Unit cell a=6.1389 b=6.1389 c=6.1389 alpha=139.76 beta=139.76 gamma=58.21
Sites, in units of the cell vectors:
Pr: 0.0000 0.0000 0.0000
Tc: 0.2500 0.7500 0.5000
Tc: 0.7500 0.2500 0.5000
Ge: 0.3755 0.3755 0.0000
Ge: 0.6245 0.6245 0.0000

Properties
SG = No. 139
volume = 19.13 Å³ per atom

=====

Which one sits at the top of the stability order? *i* does.

=====

*i*
VASP calculation (PBE) on an optimized crystal structure of Pr3GeTe2.

Unit cell a=7.7669 b=7.7669 c=7.7068 alpha=99.75 beta=99.75 gamma=119.40
Sites, in units of the cell vectors:
Pr: 0.0000 0.5000 0.0000
Pr: 0.1479 0.2983 0.4969
Pr: 0.2983 0.1479 0.9969
Pr: 0.5000 0.0000 0.5000
Pr: 0.7017 0.8521 0.0031
Pr: 0.8521 0.7017 0.5031
Ge: 0.0878 0.9122 0.2500
Ge: 0.9122 0.0878 0.7500
Te: 0.2570 0.7430 0.7500
Te: 0.4182 0.5818 0.2500
Te: 0.5818 0.4182 0.7500
Te: 0.7430 0.2570 0.2500

Properties
SG = No. 15
volume = 31.79 Å³ per atom

=====

*ii*
VASP calculation (PBE) on an optimized crystal structure of Pr3GeTe2.

Unit cell a=14.8252 b=14.1349 c=7.7765 alpha=79.39 beta=69.58 gamma=31.04
Sites, in units of the cell vectors:
Pr: 0.0375 0.5374 0.1910
Pr: 0.1023 0.6477 0.6477
Pr: 0.1910 0.7340 0.0375
Pr: 0.2660 0.8090 0.4626
Pr: 0.3523 0.8977 0.8977
Pr: 0.4626 0.9625 0.2660
Pr: 0.5374 0.0375 0.7340
Pr: 0.6477 0.1023 0.1023
Pr: 0.7340 0.1910 0.5374
Pr: 0.8090 0.2660 0.9625
Pr: 0.8977 0.3523 0.3523
Pr: 0.9625 0.4626 0.8090
Ge: 0.0414 0.0414 0.2086
Ge: 0.2086 0.2086 0.0414
Ge: 0.7914 0.7914 0.9586
Ge: 0.9586 0.9586 0.7914
Te: 0.1274 0.1274 0.6226
Te: 0.2941 0.2941 0.4559
Te: 0.3774 0.3774 0.8726
Te: 0.4559 0.4559 0.2941
Te: 0.5441 0.5441 0.7059
Te: 0.6226 0.6226 0.1274
Te: 0.7059 0.7059 0.5441
Te: 0.8726 0.8726 0.3774

Properties
SG = No. 70
volume = 31.87 Å³ per atom

=====

Which one sits at the top of the stability order? *ii* does.

=====

*i*
VASP calculation (PBE) on an optimized crystal structure of Pr2GeTe.

Unit cell a=8.0278 b=8.0278 c=8.0278 alpha=31.68 beta=31.68 gamma=31.68
Sites, in units of the cell vectors:
Pr: 0.0000 0.0000 0.0000
Pr: 0.1873 0.1873 0.1873
Ge: 0.5945 0.5945 0.5945
Te: 0.4257 0.4257 0.4257

Properties
SG = No. 160
volume = 31.67 Å³ per atom

=====

*ii*
VASP calculation (PBE) on an optimized crystal structure of Pr2GeTe.

Unit cell a=7.8158 b=7.8158 c=7.8158 alpha=32.83 beta=32.83 gamma=32.83
Sites, in units of the cell vectors:
Pr: 0.2418 0.2418 0.2418
Pr: 0.7582 0.7582 0.7582
Ge: 0.5000 0.5000 0.5000
Te: 0.0000 0.0000 0.0000

Properties
SG = No. 166
volume = 31.22 Å³ per atom

=====

Which one sits at the top of the stability order? *ii* does.

=====

*i*
VASP calculation (PBE) on an optimized crystal structure of PrGeTe3.

Unit cell a=8.2462 b=8.2462 c=8.2462 alpha=139.35 beta=89.15 gamma=104.84
Sites, in units of the cell vectors:
Pr: 0.0000 0.0000 0.0000
Pr: 0.5000 0.0000 0.5000
Ge: 0.2643 0.5143 0.7500
Ge: 0.7357 0.4857 0.2500
Te: 0.0921 0.6558 0.4363
Te: 0.2805 0.3442 0.9363
Te: 0.3591 0.1091 0.2500
Te: 0.6409 0.8909 0.7500
Te: 0.7195 0.6558 0.0637
Te: 0.9079 0.3442 0.5637

Properties
SG = No. 74
volume = 33.84 Å³ per atom

=====

*ii*
VASP calculation (PBE) on an optimized crystal structure of PrGeTe3.

Unit cell a=13.2939 b=4.3201 c=10.8467 alpha=90.00 beta=90.00 gamma=90.00
Sites, in units of the cell vectors:
Pr: 0.1876 0.2500 0.0058
Pr: 0.3124 0.7500 0.5058
Pr: 0.6876 0.2500 0.4942
Pr: 0.8124 0.7500 0.9942
Ge: 0.0207 0.7500 0.6843
Ge: 0.4793 0.2500 0.1843
Ge: 0.5207 0.7500 0.8157
Ge: 0.9793 0.2500 0.3157
Te: 0.0343 0.7500 0.1429
Te: 0.1262 0.2500 0.5239
Te: 0.2170 0.7500 0.7890
Te: 0.2830 0.2500 0.2890
Te: 0.3738 0.7500 0.0239
Te: 0.4657 0.2500 0.6429
Te: 0.5343 0.7500 0.3571
Te: 0.6262 0.2500 0.9761
Te: 0.7170 0.7500 0.7110
Te: 0.7830 0.2500 0.2110
Te: 0.8738 0.7500 0.4761
Te: 0.9657 0.2500 0.8571

Properties
SG = No. 62
volume = 31.15 Å³ per atom

=====

Which one sits at the top of the stability order? *ii* does.

=====

*i*
VASP calculation (PBE) on an optimized crystal structure of PrTlGe.

Unit cell a=4.5002 b=4.5002 c=4.7386 alpha=90.00 beta=90.00 gamma=120.00
Sites, in units of the cell vectors:
Pr: 0.0000 0.0000 0.0000
Tl: 0.6667 0.3333 0.4246
Ge: 0.3333 0.6667 0.6753

Properties
SG = No. 156
volume = 27.70 Å³ per atom

=====

*ii*
VASP calculation (PBE) on an optimized crystal structure of PrTlGe.

Unit cell a=6.7713 b=6.7713 c=6.7713 alpha=128.22 beta=128.22 gamma=76.27
Sites, in units of the cell vectors:
Pr: 0.0000 0.0000 0.0000
Pr: 0.7500 0.2500 0.5000
Tl: 0.3060 0.8060 0.5000
Tl: 0.5560 0.5560 0.0000
Ge: 0.0242 0.5242 0.5000
Ge: 0.2742 0.2742 0.0000

Properties
SG = No. 109
volume = 31.04 Å³ per atom

=====

Which one sits at the top of the stability order? *i* does.

=====

*i*
VASP calculation (PBE) on an optimized crystal structure of Pr5TlGe2.

Unit cell a=9.3068 b=9.3068 c=9.3068 alpha=128.44 beta=128.44 gamma=75.92
Sites, in units of the cell vectors:
Pr: 0.0000 0.0000 0.0000
Pr: 0.0286 0.5286 0.8380
Pr: 0.1906 0.0286 0.5000
Pr: 0.3094 0.8094 0.8380
Pr: 0.4714 0.3094 0.5000
Pr: 0.5000 0.5000 0.0000
Pr: 0.5286 0.6906 0.5000
Pr: 0.6906 0.1906 0.1620
Pr: 0.8094 0.9714 0.5000
Pr: 0.9714 0.4714 0.1620
Tl: 0.2500 0.2500 0.0000
Tl: 0.7500 0.7500 0.0000
Ge: 0.1306 0.3694 0.5000
Ge: 0.3694 0.8694 0.2389
Ge: 0.6306 0.1306 0.7611
Ge: 0.8694 0.6306 0.5000

Properties
SG = No. 140
volume = 30.06 Å³ per atom

=====

*ii*
VASP calculation (PBE) on an optimized crystal structure of Pr5TlGe2.

Unit cell a=7.0377 b=6.7559 c=6.7465 alpha=62.83 beta=58.65 gamma=58.52
Sites, in units of the cell vectors:
Pr: 0.0000 0.0000 0.0000
Pr: 0.0000 0.0000 0.5000
Pr: 0.0000 0.5000 0.0000
Pr: 0.5000 0.0000 0.5000
Pr: 0.5000 0.5000 0.0000
Tl: 0.5000 0.5000 0.5000
Ge: 0.0000 0.5000 0.5000
Ge: 0.5000 0.0000 0.0000

Properties
SG = No. 69
volume = 28.25 Å³ per atom

=====

Which one sits at the top of the stability order? *i* does.

=====

*i*
VASP calculation (PBE) on an optimized crystal structure of PrTmGe2.

Unit cell a=4.0277 b=5.8804 c=8.1032 alpha=90.00 beta=90.00 gamma=90.00
Sites, in units of the cell vectors:
Pr: 0.0000 0.1324 0.0000
Pr: 0.0000 0.8676 0.5000
Tm: 0.5000 0.3694 0.6370
Tm: 0.5000 0.6306 0.1370
Ge: 0.0000 0.3941 0.3591
Ge: 0.0000 0.6059 0.8591
Ge: 0.5000 0.1121 0.2802
Ge: 0.5000 0.8879 0.7802

Properties
SG = No. 26
volume = 23.99 Å³ per atom

=====

*ii*
VASP calculation (PBE) on an optimized crystal structure of PrTmGe2.

Unit cell a=6.0602 b=6.0602 c=6.0602 alpha=45.08 beta=45.08 gamma=45.08
Sites, in units of the cell vectors:
Pr: 0.0000 0.0000 0.0000
Tm: 0.5000 0.5000 0.5000
Ge: 0.2390 0.2390 0.2390
Ge: 0.7610 0.7610 0.7610

Properties
SG = No. 166
volume = 25.40 Å³ per atom

=====

Which one sits at the top of the stability order? *i* does.

=====

*i*
VASP calculation (PBE) on an optimized crystal structure of Pr2TmGe.

Unit cell a=4.7732 b=4.7732 c=4.8143 alpha=90.00 beta=90.00 gamma=90.00
Sites, in units of the cell vectors:
Pr: 0.0000 0.5000 0.0000
Pr: 0.5000 0.0000 0.0000
Tm: 0.0000 0.0000 0.5000
Ge: 0.5000 0.5000 0.5000

Properties
SG = No. 123
volume = 27.42 Å³ per atom

=====

*ii*
VASP calculation (PBE) on an optimized crystal structure of Pr2TmGe.

Unit cell a=11.9297 b=11.9297 c=11.9297 alpha=17.18 beta=17.18 gamma=17.18
Sites, in units of the cell vectors:
Pr: 0.0847 0.0847 0.0847
Pr: 0.9153 0.9153 0.9153
Tm: 0.5000 0.5000 0.5000
Ge: 0.0000 0.0000 0.0000

Properties
SG = No. 166
volume = 32.31 Å³ per atom

=====

Which one sits at the top of the stability order? *i* does.